Entry 1:
First-principles (GGA-PBE) data for an optimized crystal structure of HfTlTe2N, as listed in the Alexandria database. Values from VASP.

Quantum ESPRESSO input file:
```
&SYSTEM
  ibrav = 0, nat = 5, ntyp = 4
/
ATOMIC_SPECIES
Hf 178.49 Hf.upf
Tl 204.38 Tl.upf
Te 127.60 Te.upf
N 14.01 N.upf
CELL_PARAMETERS angstrom
5.7452 0.0000 0.0000
0.0000 5.7452 0.0000
0.0000 0.0000 4.0411
ATOMIC_POSITIONS angstrom
Hf 0.0000 0.0000 0.0000
Tl 2.8726 2.8726 2.0206
Te 0.0000 2.8726 2.0206
Te 2.8726 0.0000 2.0206
N 2.8726 2.8726 0.0000
```

Computed properties:
offset from the most stable computed form: 1436.0 meV per atom
density: 8.118 g cm⁻³
spin magnetization: 0.0 μB per cell
DFT total energy: -20.68 eV for the cell shown
space-group type: P4/mmm, No. 123



Entry 2:
First-principles (GGA-PBE) data for an optimized crystal structure of Tm2HfTe2N2, as listed in the Alexandria database. Values from VASP.

Quantum ESPRESSO input file:
```
&SYSTEM
  ibrav = 0, nat = 7, ntyp = 4
/
ATOMIC_SPECIES
Tm 168.93 Tm.upf
Hf 178.49 Hf.upf
Te 127.60 Te.upf
N 14.01 N.upf
CELL_PARAMETERS angstrom
-2.0789 2.0789 8.9949
2.0789 -2.0789 8.9949
2.0789 2.0789 -8.9949
ATOMIC_POSITIONS angstrom
Tm 0.0000 0.0000 1.5822
Tm 0.0000 0.0000 16.4076
Hf 0.0000 0.0000 8.9949
Te 0.0000 0.0000 6.0067
Te 0.0000 0.0000 11.9831
N 2.0789 0.0000 0.0000
N 0.0000 2.0789 0.0000
```

Computed properties:
density: 8.539 g cm⁻³
spin magnetization: 0.0 μB per cell
DFT total energy: -51.74 eV for the cell shown
space-group type: I4/mmm, No. 139



Entry 3:
First-principles (GGA-PBE) data for an optimized crystal structure of HfVTeN2, as listed in the Alexandria database. Values from VASP.

Quantum ESPRESSO input file:
```
&SYSTEM
  ibrav = 0, nat = 5, ntyp = 4
/
ATOMIC_SPECIES
Hf 178.49 Hf.upf
V 50.94 V.upf
Te 127.60 Te.upf
N 14.01 N.upf
CELL_PARAMETERS angstrom
4.0969 0.0000 0.0000
0.0000 4.0969 0.0000
0.0000 0.0000 5.8716
ATOMIC_POSITIONS angstrom
Hf 0.0000 0.0000 0.0000
V 2.0484 2.0484 2.9358
Te 0.0000 0.0000 2.9358
N 0.0000 2.0484 0.0000
N 2.0484 0.0000 0.0000
```

Computed properties:
offset from the most stable computed form: 241.8 meV per atom
density: 6.488 g cm⁻³
spin magnetization: 0.5 μB per cell
DFT total energy: -35.73 eV for the cell shown
space-group type: P4/mmm, No. 123



Entry 4:
First-principles (GGA-PBE) data for an optimized crystal structure of HfVTe2N, as listed in the Alexandria database. Values from VASP.

Quantum ESPRESSO input file:
```
&SYSTEM
  ibrav = 0, nat = 5, ntyp = 4
/
ATOMIC_SPECIES
Hf 178.49 Hf.upf
V 50.94 V.upf
Te 127.60 Te.upf
N 14.01 N.upf
CELL_PARAMETERS angstrom
5.3689 0.0000 0.0000
0.0000 5.3689 0.0000
0.0000 0.0000 3.6264
ATOMIC_POSITIONS angstrom
Hf 0.0000 0.0000 0.0000
V 2.6845 2.6845 1.8132
Te 0.0000 2.6845 1.8132
Te 2.6845 0.0000 1.8132
N 2.6845 2.6845 0.0000
```

Computed properties:
offset from the most stable computed form: 0.0 meV per atom
density: 7.921 g cm⁻³
spin magnetization: 0.8 μB per cell
DFT total energy: -33.61 eV for the cell shown
space-group type: P4/mmm, No. 123



Look up the density of the second one. 8.539 g cm⁻³



density of number 4 (HfVTe2N)? 7.921 g cm⁻³